1.
# LiNpP2Rh5

Crystalline LiNpP2Rh5 at its relaxed geometry (PBE, Alexandria via LeMat-Bulk).

Unit cell a=4.0368 b=4.0368 c=9.3592 alpha=90.00 beta=90.00 gamma=90.00
Closest atoms and distances in Å follow each position.
Space group P4/mmm (No. 123)
Symmetry-distinct sites (fractional):
Li: 0.0000 0.0000 0.0000 (multiplicity 1)  8 Rh 2.47
Np: 0.0000 0.0000 0.5000 (multiplicity 1)  4 Rh 2.85
P: 0.5000 0.5000 0.2582 (multiplicity 2)  5 Rh 2.25-2.26
Rh: 0.0000 0.5000 0.1517 (multiplicity 4)  2 P 2.25, 2 Li 2.47
Rh: 0.5000 0.5000 0.5000 (multiplicity 1)  2 P 2.26

E_form   -0.341 eV/atom


2.
# LiNpU2P4

Crystalline LiNpU2P4 at its relaxed geometry (PBE, Alexandria via LeMat-Bulk).

Unit cell a=6.7284 b=3.9869 c=6.7663 alpha=90.00 beta=110.40 gamma=90.00
Closest atoms and distances in Å follow each position.
Space group P2/m (No. 10)
Symmetry-distinct sites (fractional):
Li: 0.0000 0.0000 0.0000 (multiplicity 1)  6 P 2.79-2.80
Np: 0.0000 0.5000 0.5000 (multiplicity 1)  6 P 2.78-2.79
U: 0.5000 0.0000 0.5000 (multiplicity 1)  6 P 2.74-2.75
U: 0.5000 0.5000 0.0000 (multiplicity 1)  6 P 2.75-2.76
P: 0.2530 0.0000 0.7502 (multiplicity 2)  3 U 2.75-2.76, 2 Np 2.78, 1 Li 2.79
P: 0.2576 0.5000 0.2540 (multiplicity 2)  3 U 2.74-2.75, 1 Np 2.79, 2 Li 2.80

E_form   -0.740 eV/atom


3.
# Li3Np4PaS8

Crystalline Li3Np4PaS8 at its relaxed geometry (PBE, Alexandria via LeMat-Bulk).

Unit cell a=7.7903 b=7.7903 c=18.8489 alpha=90.00 beta=90.00 gamma=120.00
Closest atoms and distances in Å follow each position.
Space group R-3m (No. 166, hexagonal axes)
Symmetry-distinct sites (fractional):
Li: 0.0000 0.5000 0.0000 (multiplicity 9)  6 S 2.70-2.73
Np: 0.0000 0.0000 0.5000 (multiplicity 3)  6 S 2.75
Np: 0.0000 0.5000 0.5000 (multiplicity 9)  6 S 2.75-2.79
Pa: 0.0000 0.0000 0.0000 (multiplicity 3)  6 S 2.74
S: 0.0000 0.0000 0.2509 (multiplicity 6)  3 Li 2.73, 3 Np 2.75
S: 0.0048 0.5024 0.2528 (multiplicity 18)  2 Li 2.70, 1 Pa 2.74, 3 Np 2.75-2.79

E_form (uncorrected)   -1395 meV per atom


4.
# Li4NpPa3S8

Crystalline Li4NpPa3S8 at its relaxed geometry (PBE, Alexandria via LeMat-Bulk).

Unit cell a=7.7118 b=7.7118 c=18.9938 alpha=90.00 beta=90.00 gamma=120.00
Closest atoms and distances in Å follow each position.
Space group R-3m (No. 166, hexagonal axes)
Symmetry-distinct sites (fractional):
Li: 0.0000 0.0000 0.0000 (multiplicity 3)  6 S 2.68
Li: 0.0000 0.5000 0.0000 (multiplicity 9)  6 S 2.68-2.70
Np: 0.0000 0.0000 0.5000 (multiplicity 3)  6 S 2.78
Pa: 0.0000 0.5000 0.5000 (multiplicity 9)  6 S 2.76-2.78
S: 0.0000 0.0000 0.2546 (multiplicity 6)  3 Li 2.68, 3 Pa 2.78
S: 0.0028 0.5014 0.7468 (multiplicity 18)  3 Li 2.68-2.70, 2 Pa 2.76, 1 Np 2.78

E_form (uncorrected)   -1444 meV per atom


5.
# LiNpPa2S5

Crystalline LiNpPa2S5 at its relaxed geometry (PBE, Alexandria via LeMat-Bulk).

Unit cell a=3.8564 b=16.1016 c=11.6484 alpha=90.00 beta=90.00 gamma=90.00
Closest atoms and distances in Å follow each position.
Space group Cmc2_1 (No. 36)
Symmetry-distinct sites (fractional):
Li: 0.0000 0.0193 0.0000 (multiplicity 4)  4 S 2.29-2.47
Np: 0.0000 0.3005 0.5267 (multiplicity 4)  6 S 2.63-2.72
Pa: 0.0000 0.3693 0.8288 (multiplicity 4)  8 S 2.82-3.01
Pa: 0.0000 0.3897 0.2035 (multiplicity 4)  8 S 2.77-2.95
S: 0.0000 0.0033 0.3039 (multiplicity 4)  1 Li 2.31
S: 0.0000 0.1335 0.5223 (multiplicity 4)  1 Li 2.47, 1 Np 2.69
S: 0.0000 0.1861 0.8636 (multiplicity 4)  2 Np 2.72, 3 Pa 2.95-2.98
S: 0.0000 0.2100 0.1895 (multiplicity 4)  2 Np 2.71, 3 Pa 2.82-2.90
S: 0.0000 0.4553 0.5998 (multiplicity 4)  2 Li 2.29

E_form (uncorrected)   -1451 meV per atom


6.
# Li2NpPaS6

Crystalline Li2NpPaS6 at its relaxed geometry (PBE, Alexandria via LeMat-Bulk).

Unit cell a=6.5909 b=6.5909 c=18.2138 alpha=90.00 beta=90.00 gamma=120.00
Closest atoms and distances in Å follow each position.
Space group R3 (No. 146, hexagonal axes)
Symmetry-distinct sites (fractional):
Li: 0.0000 0.0000 0.0000 (multiplicity 3)  6 S 2.60-2.77
Li: 0.0000 0.0000 0.4995 (multiplicity 3)  6 S 2.61-2.76
Np: 0.0000 0.0000 0.6888 (multiplicity 3)  6 S 2.60-2.62
Pa: 0.0000 0.0000 0.1897 (multiplicity 3)  6 S 2.64-2.65
S: 0.0250 0.3456 0.7670 (multiplicity 9)  2 Li 2.61-2.77, 1 Np 2.62, 1 Pa 2.64
S: 0.0257 0.6732 0.2673 (multiplicity 9)  2 Li 2.60-2.76, 1 Np 2.60, 1 Pa 2.65

E_form (uncorrected)   -1264 meV per atom


7.
# LiNpPa2S6

Crystalline LiNpPa2S6 at its relaxed geometry (PBE, Alexandria via LeMat-Bulk).

Unit cell a=6.1219 b=6.1219 c=6.6478 alpha=90.00 beta=90.00 gamma=90.00
Closest atoms and distances in Å follow each position.
Space group P4mm (No. 99)
Symmetry-distinct sites (fractional):
Li: 0.0000 0.0000 0.0000 (multiplicity 1)  5 S 2.41-2.54
Np: 0.5000 0.5000 0.0280 (multiplicity 1)  5 S 2.58-2.71
Pa: 0.0000 0.5000 0.4602 (multiplicity 2)  4 S 2.70
S: 0.0000 0.0000 0.6374 (multiplicity 1)  1 Li 2.41
S: 0.2404 0.2404 0.2180 (multiplicity 4)  1 Li 2.54, 1 Np 2.58, 2 Pa 2.70
S: 0.5000 0.5000 0.6209 (multiplicity 1)  1 Np 2.71

E_form (uncorrected)   -1128 meV per atom


8.
# LiNp2PaS4

Crystalline LiNp2PaS4 at its relaxed geometry (PBE, Alexandria via LeMat-Bulk).

Unit cell a=6.6673 b=3.8808 c=6.7528 alpha=90.00 beta=109.50 gamma=90.00
Closest atoms and distances in Å follow each position.
Space group P2/m (No. 10)
Symmetry-distinct sites (fractional):
Li: 0.0000 0.0000 0.0000 (multiplicity 1)  6 S 2.68-2.70
Np: 0.5000 0.0000 0.5000 (multiplicity 1)  6 S 2.79-2.80
Np: 0.5000 0.5000 0.0000 (multiplicity 1)  6 S 2.73-2.75
Pa: 0.0000 0.5000 0.5000 (multiplicity 1)  6 S 2.73-2.75
S: 0.2409 0.5000 0.2424 (multiplicity 2)  2 Li 2.70, 1 Pa 2.73, 3 Np 2.75-2.79
S: 0.2471 0.0000 0.7571 (multiplicity 2)  1 Li 2.68, 3 Np 2.73-2.80, 2 Pa 2.75

E_form (uncorrected)   -1431 meV per atom